A relaxed structure of Si3Ir. Source: Alexandria via LeMat-Bulk, functional PBEsol.

Summary:
**Calculated total energy**: -26.59 eV/cell
**Formation energy (no corrections)**: 0.118 eV/atom

Unit cell a=3.755 b=4.466 c=4.466 alpha=67.53 beta=73.72 gamma=106.28
Sites, in units of the cell vectors:
Si 0.500 0.500 0.000
Si 0.500 0.000 0.500
Si 0.000 0.500 0.500
Ir 0.000 0.000 0.000